Entry from Alexandria via LeMat-Bulk: a geometry-optimized BaZr2SiTe structure (PBE).

abc: 5.0938 6.1742 5.0938
angles: 90.00 90.00 90.00
Last column: nearest neighbours and their distance in Å.
Positions (direct):
Si  0.0000  0.0000  0.0000  4 Zr 2.55
Zr  0.5000  0.0000  0.0000  2 Si 2.55
Zr  0.0000  0.0000  0.5000  2 Si 2.55
Ba  0.0000  0.5000  0.0000  2 Si 3.09
Te  0.5000  0.5000  0.5000  4 Ba 3.60, 8 Zr 4.00

Calculated values
- DOS at the Fermi energy (states/eV/f.u.) = 7.28
- theoretical density (g/cm³) = 4.928
- final energy (eV per atom) = -5.4936
- magnetization (μB per atom) = 0.498